Entry 1:
A plane-wave DFT calculation with PBE-GGA was carried out for a geometry-optimized KGd2Er structure.

Total DFT energy (no corrections): -0.3027 hartree per atom
Spin magnetization: 14.9 μB per formula unit

a b c (Å): 3.590 3.590 13.355
angles (deg): 82.28 82.28 60.00
Each line ends with the local moment (μB).
Fractional positions:
1 K 0.000 0.000 0.000  0.01
2 Gd 0.096 0.096 0.711  7.20
3 Gd 0.904 0.904 0.289  7.20
4 Er 0.500 0.500 0.500  -0.12

---

Entry 2:
A plane-wave DFT calculation with PBE-GGA was carried out for a geometry-optimized LaGdEr4 structure.

Total DFT energy (no corrections): -0.2188 hartree per atom
Spin magnetization: 8.7 μB per formula unit

a b c (Å): 6.609 6.609 6.609
angles (deg): 60.00 60.00 60.00
Each line ends with the local moment (μB).
Fractional positions:
1 Gd 0.000 0.000 0.000  7.45
2 La 0.250 0.250 0.250  0.01
3 Er 0.625 0.625 0.125  0.09
4 Er 0.625 0.125 0.625  0.09
5 Er 0.625 0.625 0.625  0.09
6 Er 0.125 0.625 0.625  0.09

---

Entry 3:
A plane-wave DFT calculation with PBE-GGA was carried out for a geometry-optimized LaGd4Er structure.

Total DFT energy (no corrections): -0.3939 hartree per atom
Spin magnetization: 28.9 μB per formula unit

a b c (Å): 6.626 6.626 6.626
angles (deg): 60.00 60.00 60.00
Each line ends with the local moment (μB).
Fractional positions:
1 Gd 0.626 0.626 0.123  7.16
2 Gd 0.626 0.123 0.626  7.16
3 Gd 0.626 0.626 0.626  7.16
4 Gd 0.123 0.626 0.626  7.16
5 La 0.250 0.250 0.250  -0.07
6 Er 0.000 0.000 0.000  -0.21